{"formula": "Li2ScAg2", "functional": "meta-GGA SCAN", "state": "single point on PBEsol structure", "lattice_angstrom": [[3.627, 0.000, 0.000], [0.000, 3.627, 0.000], [0.000, 0.000, 13.530]], "species": ["Li", "Li", "Li", "Li", "Sc", "Sc", "Ag", "Ag", "Ag", "Ag"], "frac_coords": [[0.000, 0.500, 0.250], [0.000, 0.500, 0.750], [0.500, 0.000, 0.250], [0.500, 0.000, 0.750], [0.000, 0.000, 0.000], [0.500, 0.500, 0.500], [0.000, 0.000, 0.398], [0.000, 0.000, 0.602], [0.500, 0.500, 0.102], [0.500, 0.500, 0.898]], "formation_enthalpy_0k_ev_per_atom": -0.15, "relative_energy_mev_per_atom": 17, "crystal_system": "tetragonal"}



{"formula": "KTcCl2", "functional": "meta-GGA SCAN", "state": "single point on PBEsol structure", "lattice_angstrom": [[5.066, 0.000, 0.000], [0.000, 5.066, 0.000], [0.000, 0.000, 3.259]], "species": ["K", "Tc", "Cl", "Cl"], "frac_coords": [[0.000, 0.000, 0.000], [0.500, 0.500, 0.000], [0.000, 0.500, 0.500], [0.500, 0.000, 0.500]], "e_form_raw_ev_per_atom": -0.440, "relative_energy_mev_per_atom": 166, "crystal_system": "tetragonal"}



{"formula": "HfScTiMn2", "functional": "meta-GGA SCAN", "state": "single point on PBEsol structure", "lattice_angstrom": [[4.579, 0.000, 0.000], [0.000, 4.579, 0.000], [0.000, 0.000, 4.974]], "species": ["Hf", "Sc", "Ti", "Mn", "Mn"], "frac_coords": [[0.000, 0.000, 0.000], [0.000, 0.000, 0.500], [0.500, 0.500, 0.500], [0.000, 0.500, 0.000], [0.500, 0.000, 0.000]], "formation_enthalpy_0k_ev_per_atom": 1.05, "crystal_system": "tetragonal"}



{"formula": "BaSr2W", "functional": "meta-GGA SCAN", "state": "single point on PBEsol structure", "lattice_angstrom": [[3.835, 0.000, 0.000], [0.000, 3.835, 0.000], [0.000, 0.000, 10.138]], "species": ["Ba", "Sr", "Sr", "W"], "frac_coords": [[0.000, 0.000, 0.000], [0.000, 0.000, 0.628], [0.500, 0.500, 0.320], [0.500, 0.500, 0.809]], "formation_enthalpy_0k_ev_per_atom": 1.05, "crystal_system": "tetragonal"}



{"formula": "RhIBrO2", "functional": "meta-GGA SCAN", "state": "single point on PBEsol structure", "lattice_angstrom": [[3.854, 0.000, 0.000], [0.000, 3.854, 0.000], [0.000, 0.000, 7.282]], "species": ["Rh", "I", "Br", "O", "O"], "frac_coords": [[0.000, 0.000, 0.000], [0.000, 0.000, 0.500], [0.500, 0.500, 0.500], [0.000, 0.500, 0.000], [0.500, 0.000, 0.000]], "e_form_raw_ev_per_atom": 0.118, "crystal_system": "tetragonal"}



{"formula": "CdAu3I", "functional": "meta-GGA SCAN", "state": "single point on PBEsol structure", "lattice_angstrom": [[5.293, 0.000, 0.000], [0.000, 5.293, 0.000], [0.000, 0.000, 5.293]], "species": ["Cd", "Au", "Au", "Au", "I"], "frac_coords": [[0.000, 0.000, 0.000], [0.000, 0.500, 0.500], [0.500, 0.000, 0.500], [0.500, 0.500, 0.000], [0.500, 0.500, 0.500]], "e_form_raw_ev_per_atom": 0.786, "crystal_system": "cubic"}



{"formula": "Tc2Os", "functional": "meta-GGA SCAN", "state": "single point on PBEsol structure", "lattice_angstrom": [[9.869, 0.000, 0.000], [0.000, 2.720, 0.000], [-1.522, 0.000, 6.226]], "species": ["Tc", "Tc", "Tc", "Tc", "Tc", "Tc", "Tc", "Tc", "Os", "Os", "Os", "Os"], "frac_coords": [[0.137, 0.000, 0.026], [0.193, 0.000, 0.639], [0.307, 0.500, 0.361], [0.363, 0.500, 0.974], [0.637, 0.500, 0.026], [0.693, 0.500, 0.639], [0.807, 0.000, 0.361], [0.863, 0.000, 0.974], [0.028, 0.500, 0.305], [0.472, 0.000, 0.695], [0.528, 0.000, 0.305], [0.972, 0.500, 0.695]], "formation_enthalpy_0k_ev_per_atom": -0.09, "relative_energy_mev_per_atom": 0, "crystal_system": "monoclinic"}



{"formula": "CaAlSe2", "functional": "meta-GGA SCAN", "state": "single point on PBEsol structure", "lattice_angstrom": [[6.881, 0.000, 0.000], [0.000, 6.880, 0.000], [-0.038, 0.000, 3.487]], "species": ["Ca", "Ca", "Al", "Al", "Se", "Se", "Se", "Se"], "frac_coords": [[0.000, 0.000, 0.000], [0.500, 0.500, 0.000], [0.000, 0.500, 0.000], [0.500, 0.000, 0.000], [0.250, 0.250, 0.500], [0.250, 0.750, 0.500], [0.750, 0.250, 0.500], [0.750, 0.750, 0.500]], "e_form_raw_ev_per_atom": -0.950, "crystal_system": "monoclinic"}